Material: AcGaH2F8
Method: DFT, PBE-GGA
State: optimized geometry

Results
- space-group type = C2/m, No. 12
- ρ (Mg/m³) = 5.08
- final energy (eV for the cell shown) = -61.165
- D(E_F) (states/eV/f.u.) = 0.00

abc: 4.4788 4.4801 8.0533
angles: 88.69 88.69 65.73
Closest atoms and distances in Å follow each position.
Fractional positions:
Ac1 0.0000 0.0000 0.5000  6 F 2.45-2.68
Ga1 0.0000 0.0000 0.0000  2 F 1.75
H1 0.5059 0.5059 0.7977  2 F 1.15
H2 0.4941 0.4941 0.2023  2 F 1.15
F1 0.2566 0.7307 0.2079  1 H 1.15
F2 0.7676 0.7676 0.9970  1 Ga 1.75
F3 0.7306 0.2566 0.2079  1 H 1.15
F4 0.7434 0.2693 0.7921  1 H 1.15
F5 0.2324 0.2324 0.0030  1 Ga 1.75
F6 0.2694 0.7434 0.7921  1 H 1.15
F7 0.6742 0.6743 0.4921  1 Ac 2.45, 3 F 2.62-2.69, 2 H 2.73-2.74
F8 0.3258 0.3257 0.5079  1 Ac 2.45, 3 F 2.62-2.69, 2 H 2.73-2.74